[1]
Compound: Er4SiGeSe2
Source: Alexandria via LeMat-Bulk
Functional: PBE
Structure: optimized geometry

For the calculated density, the calculation gives 8.0 g/cm3. The value obtained for the formation energy without anion corrections is -1.3411 eV/atom. The value obtained for the raw total energy is -5.749 eV/atom.

The structure belongs to space group I-4m2 (No. 119); the cell edges are 5.7558, 5.7558 and 11.5990 Å and the angles 90.00°, 90.00° and 90.00°. The distinct sites, in fractional coordinates, are Er at (0.0000, 0.0000, 0.2447), Er at (0.0000, 0.5000, 0.0039), Si at (0.0000, 0.0000, 0.0000), Ge at (0.0000, 0.5000, 0.2500), Se at (0.0000, 0.0000, 0.5000) and Se at (0.0000, 0.5000, 0.7500).

=====

[2]
Compound: Er6SnGe2Se3
Source: Alexandria via LeMat-Bulk
Functional: PBE
Structure: optimized geometry

For the calculated density, the calculation gives 8.3 g/cm3. The value obtained for the formation energy without anion corrections is -1.2945 eV/atom. The value obtained for the raw total energy is -5.550 eV/atom.

The structure belongs to space group C2/m (No. 12); the cell edges are 18.0842, 4.1111 and 8.3430 Å and the angles 90.00°, 103.44° and 90.00°. The distinct sites, in fractional coordinates, are Er at (0.0041, 0.0000, 0.2600), Er at (0.1699, 0.5000, 0.0979), Er at (0.1715, 0.5000, 0.5751), Sn at (0.0000, 0.5000, 0.0000), Ge at (0.1666, 0.0000, 0.3343), Se at (0.0000, 0.5000, 0.5000) and Se at (0.1658, 0.0000, 0.8322).

=====

[3]
Compound: Er4GeTe2Se
Source: Alexandria via LeMat-Bulk
Functional: PBE
Structure: optimized geometry

For the calculated density, the calculation gives 8.5 g/cm3. The value obtained for the formation energy without anion corrections is -1.3616 eV/atom. The value obtained for the raw total energy is -5.441 eV/atom.

The structure belongs to space group P2/m (No. 10); the cell edges are 7.2131, 4.1815 and 7.4170 Å and the angles 90.00°, 109.14° and 90.00°. The distinct sites, in fractional coordinates, are Er at (0.2318, 0.0000, 0.2181), Er at (0.2522, 0.5000, 0.7817), Ge at (0.0000, 0.5000, 0.0000), Te at (0.0000, 0.0000, 0.5000), Te at (0.5000, 0.5000, 0.5000) and Se at (0.5000, 0.0000, 0.0000).

=====

[4]
Compound: Er8Ge3Te3Se
Source: Alexandria via LeMat-Bulk
Functional: PBE
Structure: optimized geometry

For the calculated density, the calculation gives 8.1 g/cm3. The value obtained for the formation energy without anion corrections is -1.1191 eV/atom. The value obtained for the raw total energy is -5.337 eV/atom.

The structure belongs to space group R-3m (No. 166, hexagonal axes); the cell edges are 8.3299, 8.3299 and 20.6426 Å and the angles 90.00°, 90.00° and 120.00°. The distinct sites, in fractional coordinates, are Er at (0.0000, 0.0000, 0.2399), Er at (0.0142, 0.5071, 0.7577), Ge at (0.0000, 0.5000, 0.5000), Te at (0.0000, 0.5000, 0.0000) and Se at (0.0000, 0.0000, 0.5000).

=====

[5]
Compound: Er6Ge2TeSe3
Source: Alexandria via LeMat-Bulk
Functional: PBE
Structure: optimized geometry

For the calculated density, the calculation gives 8.4 g/cm3. The value obtained for the formation energy without anion corrections is -1.4292 eV/atom. The value obtained for the raw total energy is -5.613 eV/atom.

The structure belongs to space group C2/m (No. 12); the cell edges are 17.9354, 4.1264 and 8.2915 Å and the angles 90.00°, 102.59° and 90.00°. The distinct sites, in fractional coordinates, are Er at (0.0074, 0.0000, 0.2714), Er at (0.1703, 0.5000, 0.5760), Er at (0.1735, 0.5000, 0.1050), Ge at (0.1673, 0.0000, 0.3347), Te at (0.0000, 0.5000, 0.0000), Se at (0.0000, 0.5000, 0.5000) and Se at (0.1624, 0.0000, 0.8359).

=====

[6]
Compound: Er6Ge2Te3Se
Source: Alexandria via LeMat-Bulk
Functional: PBE
Structure: optimized geometry

For the calculated density, the calculation gives 8.4 g/cm3. The value obtained for the formation energy without anion corrections is -1.3029 eV/atom. The value obtained for the raw total energy is -5.430 eV/atom.

The structure belongs to space group C2/m (No. 12); the cell edges are 18.5063, 4.1880 and 8.5141 Å and the angles 90.00°, 104.58° and 90.00°. The distinct sites, in fractional coordinates, are Er at (0.0108, 0.0000, 0.2406), Er at (0.1643, 0.5000, 0.1066), Er at (0.1736, 0.5000, 0.5644), Ge at (0.1668, 0.0000, 0.3315), Te at (0.0000, 0.5000, 0.5000), Te at (0.1633, 0.0000, 0.8336) and Se at (0.0000, 0.5000, 0.0000).